The following is a DFT calculation (PBE with a Hubbard U) of crystalline SrMn2RuO8 at its relaxed geometry.

Total DFT energy (no corrections) (eV/atom): -6.727
Volume (Å³ per cell): 153
Space group: No. 2
Fermi-level density of states (states/eV/atom): 0.46

abc: 4.8103 4.8989 6.8662
angles: 76.80 80.82 78.45
With the nearest neighbours (Å) after each atom.
Sites, in units of the cell vectors:
1 Sr 0.0000 0.0000 0.0000  6 O 2.47-2.69
2 Mn 0.4593 0.4536 0.2247  5 O 1.88-1.94
3 Mn 0.5407 0.5464 0.7753  5 O 1.88-1.94
4 Ru 0.0000 0.0000 0.5000  6 O 1.87-1.98
5 O 0.1681 0.7255 0.7272  1 Mn 1.88, 1 Ru 1.98
6 O 0.1983 0.7560 0.3169  1 Mn 1.90, 1 Ru 1.94
7 O 0.3065 0.1968 0.4502  1 Ru 1.87, 1 Mn 1.91
8 O 0.4253 0.2755 0.0146  2 Mn 1.89-1.94
9 O 0.5747 0.7245 0.9854  2 Mn 1.89-1.94
10 O 0.6935 0.8032 0.5498  1 Ru 1.87, 1 Mn 1.91
11 O 0.8017 0.2440 0.6831  1 Mn 1.90, 1 Ru 1.94
12 O 0.8319 0.2745 0.2728  1 Mn 1.88, 1 Ru 1.98